Material: KBeSi
Method: DFT, GGA-PBE
State: optimized geometry

Cell: 3.815 6.294 9.941 Å, 96.92 100.89 51.65°
Fractional coordinates of all 6 atoms:
Si 0.500 0.000 0.500
Be 0.260 0.749 0.520
Be 0.740 0.251 0.480
K 0.100 0.751 0.195
Si 0.000 0.500 0.500
K 0.900 0.249 0.805

Offset from the most stable computed form, meV per atom: 10
ΔE_f (raw), eV per atom: 0.318

=====

Material: ScTl2Bi
Method: DFT, GGA-PBE
State: optimized geometry

Cell: 3.443 3.443 12.004 Å, 81.75 81.75 60.00°
Fractional coordinates of all 4 atoms:
Tl 0.915 0.915 0.255
Bi 0.500 0.500 0.500
Sc 0.000 0.000 0.000
Tl 0.085 0.085 0.745

Electronic total energy, eV/f.u.: -14.30

=====

Material: Sr8ZnNi2
Method: DFT, GGA-PBE
State: optimized geometry

Cell: 6.367 9.508 9.508 Å, 120.03 90.00 90.00°
Fractional coordinates of all 11 atoms:
Sr 0.253 0.670 0.834
Sr 0.747 0.834 0.164
Zn 0.000 0.000 0.000
Sr 0.747 0.330 0.166
Sr 0.253 0.164 0.330
Sr 0.754 0.333 0.667
Ni 0.253 0.333 0.667
Ni 0.747 0.667 0.333
Sr 0.246 0.667 0.333
Sr 0.253 0.166 0.836
Sr 0.747 0.836 0.670

Electronic total energy, eV/f.u.: -24.65

=====

Material: CaYMg2Se
Method: DFT, GGA-PBE
State: optimized geometry

Cell: 5.637 6.089 5.637 Å, 90.00 90.00 90.00°
Fractional coordinates of all 5 atoms:
Mg 0.500 0.000 0.000
Mg 0.000 0.000 0.500
Y 0.000 0.500 0.000
Se 0.500 0.500 0.500
Ca 0.000 0.000 0.000

ΔE_f (raw), eV per atom: 0.918

=====

Material: AcSeI2
Method: DFT, GGA-PBE
State: optimized geometry

Cell: 4.441 4.441 11.053 Å, 78.41 78.41 60.00°
Fractional coordinates of all 4 atoms:
Se 0.000 0.000 0.000
I 0.101 0.101 0.698
Ac 0.500 0.500 0.500
I 0.899 0.899 0.302

ΔE_f (raw), eV per atom: -0.530

=====

Material: Cs3IrBr7
Method: DFT, GGA-PBE
State: optimized geometry

Cell: 7.600 10.675 10.675 Å, 90.00 90.00 90.00°
Fractional coordinates of all 22 atoms:
Ir 0.000 0.000 0.500
Cs 0.000 0.000 0.000
Ir 0.000 0.500 0.000
Br 0.232 0.883 0.617
Cs 0.500 0.177 0.677
Br 0.500 0.500 0.500
Br 0.768 0.117 0.383
Cs 0.500 0.677 0.823
Br 0.768 0.617 0.117
Br 0.768 0.383 0.883
Br 0.000 0.334 0.166
Br 0.000 0.666 0.834
Cs 0.000 0.500 0.500
Br 0.232 0.117 0.383
Br 0.768 0.883 0.617
Br 0.232 0.617 0.117
Br 0.232 0.383 0.883
Br 0.500 0.000 0.000
Cs 0.500 0.323 0.177
Br 0.000 0.166 0.666
Br 0.000 0.834 0.334
Cs 0.500 0.823 0.323

ΔE_f (raw), eV per atom: -1.088

=====

Material: Ba2LaRe
Method: DFT, GGA-PBE
State: optimized geometry

Cell: 6.528 6.528 6.528 Å, 137.84 137.84 61.15°
Fractional coordinates of all 4 atoms:
Ba 0.000 0.000 0.000
Ba 0.500 0.500 0.000
Re 0.250 0.750 0.500
La 0.750 0.250 0.500

Offset from the most stable computed form, meV per atom: 435

=====

Material: NdDy2Sc2
Method: DFT, GGA-PBE
State: optimized geometry

Cell: 5.476 6.783 9.160 Å, 111.73 107.39 90.00°
Fractional coordinates of all 10 atoms:
Dy 0.624 0.374 0.749
Dy 0.999 0.249 0.498
Sc 0.808 0.804 0.116
Nd 0.625 0.875 0.750
Nd 0.375 0.125 0.250
Dy 0.001 0.751 0.502
Dy 0.376 0.626 0.251
Sc 0.808 0.312 0.116
Sc 0.192 0.196 0.884
Sc 0.192 0.688 0.884

Offset from the most stable computed form, meV per atom: 0

=====

Material: AcErSi2
Method: DFT, GGA-PBE
State: optimized geometry

Cell: 4.662 4.662 6.363 Å, 68.51 68.51 60.00°
Fractional coordinates of all 4 atoms:
Si 0.772 0.772 0.685
Si 0.228 0.228 0.315
Ac 0.000 0.000 0.000
Er 0.500 0.500 0.500

Offset from the most stable computed form, meV per atom: 167
ΔE_f (raw), eV per atom: -0.423

=====

Material: K2NdTlS4
Method: DFT, GGA-PBE
State: optimized geometry

Cell: 8.496 8.496 8.512 Å, 119.23 119.23 92.06°
Fractional coordinates of all 16 atoms:
K 0.000 0.000 0.500
S 0.232 0.718 0.471
Nd 0.000 0.500 0.000
S 0.775 0.755 0.980
K 0.500 0.500 0.000
Tl 0.500 0.500 0.500
S 0.745 0.725 0.520
Nd 0.000 0.500 0.500
S 0.218 0.732 0.971
Tl 0.000 0.000 0.000
S 0.255 0.275 0.480
K 0.500 0.000 0.500
S 0.225 0.245 0.020
S 0.768 0.282 0.529
K 0.500 0.000 0.000
S 0.782 0.268 0.029

ΔE_f (raw), eV per atom: -1.149

=====

Material: ScReW2
Method: DFT, GGA-PBE
State: optimized geometry

Cell: 9.408 9.408 9.408 Å, 17.78 17.78 17.78°
Fractional coordinates of all 4 atoms:
W 0.995 0.995 0.995
Sc 0.750 0.750 0.750
Re 0.250 0.250 0.250
W 0.505 0.505 0.505

Offset from the most stable computed form, meV per atom: 352

=====

The calculation returns the following total magnetization values, one per record and in order: 0.000; 0.000; 0.000; 2.182; 1.145; 2.424; 0.284; 0.000; 0.000; 0.000; 0.000 μB/cell.